PmH4Pd2Rh after structural relaxation, computed with GGA-PBE.

Cell: 4.8318 4.8318 4.8318 Å, 114.52 114.52 99.79°
Last column: nearest neighbours and their distance in Å.
Atoms (fractional coordinates):
1 Pm 0.0000 0.0000 0.0000  8 H 2.48-2.52
2 H 0.1355 0.1355 0.6168  1 Rh 1.78, 2 Pd 1.96
3 H 0.4813 0.8645 0.0000  1 Rh 1.78, 2 Pd 1.96
4 H 0.5187 0.5187 0.3832  1 Rh 1.78, 2 Pd 1.96
5 H 0.8645 0.4813 0.0000  1 Rh 1.78, 2 Pd 1.96
6 Pd 0.2500 0.7500 0.5000  4 H 1.96
7 Pd 0.7500 0.2500 0.5000  4 H 1.96
8 Rh 0.5000 0.5000 0.0000  4 H 1.78

Results
Crystal system   tetragonal
Energy   -4.886 eV per atom

Sm2ErSe2S2 after structural relaxation, computed with GGA-PBE.

Cell: 8.1985 8.1985 8.1985 Å, 144.27 144.27 51.43°
Last column: nearest neighbours and their distance in Å.
Atoms (fractional coordinates):
1 Sm 0.1222 0.1222 0.0000  1 Se 2.82, 4 S 3.10
2 Sm 0.8778 0.8778 0.0000  1 Se 2.82, 4 S 3.10
3 Er 0.5000 0.5000 0.0000  4 S 2.52, 2 Se 2.76
4 Se 0.3133 0.3133 0.0000  1 Er 2.76, 1 Sm 2.82
5 Se 0.6867 0.6867 0.0000  1 Er 2.76, 1 Sm 2.82
6 S 0.0000 0.5000 0.5000  2 Er 2.52
7 S 0.5000 0.0000 0.5000  2 Er 2.52

Results
Crystal system   tetragonal
Energy   -5.774 eV per atom

Question: What is the energy in the second record?
Answer: -5.774 eV per atom

Question: Which of these has the highest energy?
Answer: PmH4Pd2Rh